## ZrBePRh2 (PBE-GGA)

Data for a relaxed ZrBePRh2 crystal.

Summary:
The crystal system is tetragonal. For the energy of formation, the calculation gives -0.14 eV per atom.

Cell: 4.5061 3.9473 4.5061 Å, 90.00 90.00 90.00°
Element x y z (fractional)
P 0.0000 0.0000 0.0000
Rh 0.0000 0.0000 0.5000
Rh 0.5000 0.0000 0.0000
Zr 0.5000 0.5000 0.5000
Be 0.0000 0.5000 0.0000



## Be3PRu (PBE-GGA)

Data for a relaxed Be3PRu crystal.

Summary:
The crystal system is cubic. The calculation puts the energy above the most stable polymorph in this dataset at 0 meV per atom. For the energy of formation, the calculation gives 0.81 eV per atom.

Cell: 3.9749 3.9749 3.9749 Å, 90.00 90.00 90.00°
Element x y z (fractional)
Ru 0.5000 0.5000 0.5000
Be 0.0000 0.5000 0.0000
Be 0.0000 0.0000 0.5000
Be 0.5000 0.0000 0.0000
P 0.0000 0.0000 0.0000



## Be2PRu (PBE-GGA)

Data for a relaxed Be2PRu crystal.

Summary:
The crystal system is tetragonal. For the energy of formation, the calculation gives -0.19 eV per atom.

Cell: 4.3717 4.3717 4.3717 Å, 134.04 133.98 67.07°
Element x y z (fractional)
Ru 0.7500 0.2500 0.5000
Be 0.0000 0.0000 0.0000
Be 0.5000 0.5000 0.0000
P 0.2500 0.7500 0.5000



## Be2PRu (PBE-GGA)

Data for a relaxed Be2PRu crystal.

Summary:
The crystal system is monoclinic. For the energy of formation, the calculation gives -0.12 eV per atom.

Cell: 3.6283 2.7531 4.3711 Å, 89.81 90.00 90.00°
Element x y z (fractional)
Ru 0.5000 0.7460 0.7476
Be 0.0000 0.2333 0.0049
Be 0.5000 0.2745 0.2408
P 0.0000 0.2462 0.5067



## BePRu3 (PBE-GGA)

Data for a relaxed BePRu3 crystal.

Summary:
The crystal system is cubic. The calculation puts the energy above the most stable polymorph in this dataset at 0 meV per atom. For the energy of formation, the calculation gives 0.56 eV per atom.

Cell: 4.2967 4.2967 4.2967 Å, 90.00 90.00 90.00°
Element x y z (fractional)
Ru 0.0000 0.5000 0.0000
Ru 0.0000 0.0000 0.5000
Ru 0.5000 0.0000 0.0000
Be 0.5000 0.5000 0.5000
P 0.0000 0.0000 0.0000



## Be2PRu (PBE-GGA)

Data for a relaxed Be2PRu crystal.

Summary:
The crystal system is orthorhombic. For the energy of formation, the calculation gives -0.19 eV per atom.

Cell: 3.5070 2.8614 4.3884 Å, 90.04 90.00 90.00°
Element x y z (fractional)
Ru 0.5000 0.7500 0.7500
Be 0.0000 0.2502 0.9854
Be 0.0000 0.2498 0.5146
P 0.5000 0.2500 0.2500



## BePRu (PBE-GGA)

Data for a relaxed BePRu crystal.

Summary:
The crystal system is hexagonal. The calculation puts the energy above the most stable polymorph in this dataset at 303 meV per atom. For the energy of formation, the calculation gives -0.08 eV per atom.

Cell: 3.8625 3.8625 2.9508 Å, 90.00 90.00 120.00°
Element x y z (fractional)
Ru 0.3333 0.6667 0.4998
Be 0.0000 0.0000 0.0005
P 0.6667 0.3333 0.4997



## BePRu (PBE-GGA)

Data for a relaxed BePRu crystal.

Summary:
The crystal system is orthorhombic. The calculation puts the energy above the most stable polymorph in this dataset at 607 meV per atom. For the energy of formation, the calculation gives 0.22 eV per atom.

Cell: 5.9559 5.6673 2.7616 Å, 82.16 70.50 27.34°
Element x y z (fractional)
Ru 0.6673 0.6673 0.3327
Be 0.9977 0.9977 0.0023
P 0.3350 0.3350 0.6650



## Be2PRu (PBE-GGA)

Data for a relaxed Be2PRu crystal.

Summary:
The crystal system is tetragonal. For the energy of formation, the calculation gives -0.21 eV per atom.

Cell: 4.3756 4.3756 4.3756 Å, 134.37 134.35 66.53°
Element x y z (fractional)
Ru 0.7499 0.2499 0.5000
Be 0.0000 0.0000 0.0000
Be 0.2502 0.7502 0.5000
P 0.4999 0.4999 0.0000



## BePRu (PBE-GGA)

Data for a relaxed BePRu crystal.

Summary:
The crystal system is cubic. The calculation puts the energy above the most stable polymorph in this dataset at 194 meV per atom. For the energy of formation, the calculation gives -0.19 eV per atom.

Cell: 3.7898 3.7898 3.7898 Å, 60.00 60.00 60.00°
Element x y z (fractional)
Ru 0.0000 0.0000 0.0000
Be 0.5000 0.5000 0.5000
P 0.7500 0.7500 0.7500



## Be2PRu2 (PBE-GGA)

Data for a relaxed Be2PRu2 crystal.

Summary:
The crystal system is tetragonal. The calculation puts the energy above the most stable polymorph in this dataset at 0 meV per atom. For the energy of formation, the calculation gives -0.29 eV per atom.

Cell: 6.0085 6.0085 3.3622 Å, 90.00 90.00 90.00°
Element x y z (fractional)
Ru 0.3371 0.8371 0.0000
Ru 0.8371 0.6629 0.0000
Ru 0.6629 0.1629 0.0000
Ru 0.1629 0.3371 0.0000
Be 0.1326 0.6326 0.5000
Be 0.6326 0.8674 0.5000
Be 0.8674 0.3674 0.5000
Be 0.3674 0.1326 0.5000
P 0.0000 0.0000 0.0000
P 0.5000 0.5000 0.0000



## Be3PRu (PBE-GGA)

Data for a relaxed Be3PRu crystal.

Summary:
The crystal system is cubic. The calculation puts the energy above the most stable polymorph in this dataset at 88 meV per atom. For the energy of formation, the calculation gives 0.90 eV per atom.

Cell: 4.1474 4.1474 4.1474 Å, 90.00 90.00 90.00°
Element x y z (fractional)
Ru 0.0000 0.0000 0.0000
Be 0.0000 0.5000 0.0000
Be 0.0000 0.0000 0.5000
Be 0.5000 0.0000 0.0000
P 0.5000 0.5000 0.5000



energy of formation of number 12 (Be3PRu)? 0.90 eV per atom